Material: ZrTe3
Method: DFT, GGA-PBE
State: optimized geometry

abc: 4.194 4.565 12.614
angles: 90.00 99.59 90.00
Space group P2_1/m (No. 11)
Inequivalent atoms, fractional coordinates:
Zr  0.167  0.250  0.334
Te  0.085  0.750  0.171
Te  0.289  0.250  0.579
Te  0.419  0.750  0.838

Energy relative to the elements, uncorrected in eV/f.u.: -2.141